Density functional theory data (GGA-PBE) for crystalline Dy2Mg2Ga4Cu at its relaxed geometry.

Cell: 6.300 6.300 6.300 Å, 120.07 120.07 89.88°
Atoms (fractional coordinates):
Dy1 0.250 0.750 0.500
Dy2 0.750 0.250 0.500
Mg1 0.220 0.220 0.000
Mg2 0.780 0.780 0.000
Ga1 0.225 0.225 0.451
Ga2 0.225 0.775 0.000
Ga3 0.775 0.225 0.000
Ga4 0.775 0.775 0.549
Cu1 0.500 0.500 0.000

Energy = -3.547 eV/atom
Spin magnetization = 0.00 μB per atom
DOS at the Fermi energy = 4.25 states/eV/f.u.
Space group = I4/mmm, No. 139
Volume = 176.7 Å³/cell